(1)
A relaxed NaCeMg30O32 crystal. Source: Alexandria, functional PBEsol.

Computed properties:
formation energy (no corrections): -2.688 eV per atom
V: 625 Å³/f.u.

Cell lengths 8.5466, 8.5485, 8.5485 Å; angles 90.00, 90.00, 90.00 degrees
Last column: nearest neighbours and their distance in Å.
Fractional coordinates of all 64 atoms:
O1 0.5000 0.5000 0.2479  6 Mg 2.12-2.15
O2 0.7454 0.5000 0.0000  6 Mg 2.06-2.18
O3 0.5000 0.7521 0.5000  6 Mg 2.12-2.15
O4 0.7503 0.7509 0.7509  6 Mg 2.13-2.15
O5 0.2546 0.0000 0.5000  6 Mg 2.06-2.18
O6 0.5000 0.0000 0.7487  6 Mg 2.07-2.15
O7 0.0000 0.2389 0.5000  5 Mg 2.04-2.14, 1 Na 2.23
O8 0.0000 0.2635 0.0000  5 Mg 2.02-2.22, 1 Ce 2.25
O9 0.0000 0.0000 0.7365  5 Mg 2.02-2.22, 1 Ce 2.25
O10 0.0000 0.5000 0.7611  5 Mg 2.04-2.14, 1 Na 2.23
O11 0.5000 0.2513 0.0000  6 Mg 2.07-2.15
O12 0.5000 0.2479 0.5000  6 Mg 2.12-2.15
O13 0.7454 0.0000 0.5000  6 Mg 2.06-2.18
O14 0.5000 0.7487 0.0000  6 Mg 2.07-2.15
O15 0.2546 0.5000 0.0000  6 Mg 2.06-2.18
O16 0.7346 0.0000 0.0000  5 Mg 2.01-2.21
O17 0.2654 0.0000 0.0000  5 Mg 2.01-2.21
O18 0.2632 0.5000 0.5000  5 Mg 2.02-2.12, 1 Na 2.25
O19 0.0000 0.0000 0.2635  5 Mg 2.02-2.22, 1 Ce 2.25
O20 0.7503 0.2491 0.2491  6 Mg 2.13-2.15
O21 0.2497 0.7509 0.7509  6 Mg 2.13-2.15
O22 0.5000 0.5000 0.7521  6 Mg 2.12-2.15
O23 0.0000 0.7365 0.0000  5 Mg 2.02-2.22, 1 Ce 2.25
O24 0.7503 0.7509 0.2491  6 Mg 2.13-2.15
O25 0.2497 0.2491 0.7509  6 Mg 2.13-2.15
O26 0.7503 0.2491 0.7509  6 Mg 2.13-2.15
O27 0.7368 0.5000 0.5000  5 Mg 2.02-2.12, 1 Na 2.25
O28 0.2497 0.2491 0.2491  6 Mg 2.13-2.15
O29 0.0000 0.5000 0.2389  5 Mg 2.04-2.14, 1 Na 2.23
O30 0.2497 0.7509 0.2491  6 Mg 2.13-2.15
O31 0.5000 0.0000 0.2513  6 Mg 2.07-2.15
O32 0.0000 0.7611 0.5000  5 Mg 2.04-2.14, 1 Na 2.23
Mg1 0.2574 0.7413 0.0000  6 O 2.06-2.21
Mg2 0.7426 0.2587 0.0000  6 O 2.06-2.21
Mg3 0.7426 0.7413 0.0000  6 O 2.06-2.21
Mg4 0.5000 0.0000 0.5000  6 O 2.10-2.13
Mg5 0.0000 0.2600 0.7400  6 O 2.06-2.22
Mg6 0.0000 0.0000 0.5000  6 O 2.02-2.18
Mg7 0.5000 0.2519 0.7481  6 O 2.12-2.15
Mg8 0.2574 0.0000 0.2587  6 O 2.06-2.21
Mg9 0.7503 0.2528 0.5000  6 O 2.12-2.16
Mg10 0.5000 0.2519 0.2519  6 O 2.12-2.15
Mg11 0.2497 0.2528 0.5000  6 O 2.12-2.16
Mg12 0.7426 0.0000 0.7413  6 O 2.06-2.21
Mg13 0.2574 0.2587 0.0000  6 O 2.06-2.21
Mg14 0.7503 0.5000 0.2528  6 O 2.12-2.16
Mg15 0.0000 0.7400 0.2600  6 O 2.06-2.22
Mg16 0.7503 0.5000 0.7472  6 O 2.12-2.16
Mg17 0.0000 0.5000 0.0000  6 O 2.02-2.18
Mg18 0.5000 0.5000 0.0000  6 O 2.10-2.13
Mg19 0.5000 0.5000 0.5000  6 O 2.02-2.15
Mg20 0.2497 0.5000 0.7472  6 O 2.12-2.16
Mg21 0.5000 0.0000 0.0000  6 O 2.01-2.15
Mg22 0.5000 0.7481 0.7481  6 O 2.12-2.15
Mg23 0.7503 0.7472 0.5000  6 O 2.12-2.16
Mg24 0.5000 0.7481 0.2519  6 O 2.12-2.15
Mg25 0.0000 0.2600 0.2600  6 O 2.06-2.22
Mg26 0.2497 0.5000 0.2528  6 O 2.12-2.16
Mg27 0.7426 0.0000 0.2587  6 O 2.06-2.21
Mg28 0.0000 0.7400 0.7400  6 O 2.06-2.22
Mg29 0.2497 0.7472 0.5000  6 O 2.12-2.16
Mg30 0.2574 0.0000 0.7413  6 O 2.06-2.21
Ce1 0.0000 0.0000 0.0000  6 O 2.25-2.27
Na1 0.0000 0.5000 0.5000  6 O 2.23-2.25

=====

(2)
A relaxed CeMgNi4 crystal. Source: Alexandria, functional PBEsol.

Computed properties:
energy of formation: -2.267 eV/f.u.
V: 82 Å³/f.u.

Cell lengths 4.8830, 4.8830, 4.8830 Å; angles 60.00, 60.00, 60.00 degrees
Last column: nearest neighbours and their distance in Å.
Fractional coordinates of all 6 atoms:
Ce1 0.0000 0.0000 0.0000  12 Ni 2.87, 4 Mg 2.99
Ni1 0.6238 0.6238 0.1285  6 Ni 2.42-2.46
Ni2 0.1285 0.6238 0.6238  6 Ni 2.42-2.46
Ni3 0.6238 0.1285 0.6238  6 Ni 2.42-2.46
Ni4 0.6238 0.6238 0.6238  6 Ni 2.42-2.46
Mg1 0.2500 0.2500 0.2500  12 Ni 2.86, 4 Ce 2.99